A plane-wave DFT calculation with PBE was carried out for crystalline Tl2CrFe at its relaxed geometry.

Summary:
**Energy relative to the elements**: 1.95 eV/f.u.
**Energy above the most stable polymorph in this dataset**: 0.000 eV/atom
**Spin magnetization**: 0.60 μB/f.u.
**Calculated total energy**: -5.22 eV/atom

Cell: 3.121 3.089 9.539 Å, 61.12 90.00 90.00°
Positions (direct):
Cr  0.000  0.468  0.563
Tl  0.000  0.902  0.940
Tl  0.500  0.358  0.301
Fe  0.500  0.772  0.695

=====

A plane-wave DFT calculation with PBE was carried out for crystalline KLiHg6 at its relaxed geometry.

Summary:
**Energy relative to the elements**: -1.51 eV/f.u.
**Spin magnetization**: 0.00 μB/f.u.
**Calculated total energy**: -0.79 eV/atom

Cell: 5.347 5.347 9.124 Å, 72.96 72.96 60.00°
Positions (direct):
Hg  0.363  0.363  0.911
Hg  0.637  0.637  0.089
Hg  0.891  0.891  0.328
Hg  0.242  0.242  0.273
Hg  0.758  0.758  0.727
Hg  0.109  0.109  0.672
Li  0.000  0.000  0.000
K  0.500  0.500  0.500

=====

A plane-wave DFT calculation with PBE was carried out for crystalline Tl4TeCl2 at its relaxed geometry.

Summary:
**Energy above the most stable polymorph in this dataset**: 0.000 eV/atom
**Spin magnetization**: 0.00 μB/f.u.
**Calculated total energy**: -3.01 eV/atom
**Raw formation energy**: -0.682 eV per atom

Cell: 8.519 8.519 8.519 Å, 109.93 108.55 109.93°
Positions (direct):
Cl  0.375  0.908  0.783
Cl  0.217  0.592  0.125
Cl  0.875  0.092  0.467
Cl  0.533  0.408  0.625
Tl  0.626  0.758  0.515
Tl  0.993  0.611  0.735
Tl  0.124  0.389  0.382
Tl  0.757  0.242  0.868
Tl  0.132  0.889  0.374
Tl  0.265  0.258  0.876
Tl  0.485  0.111  0.243
Tl  0.618  0.742  0.007
Te  0.750  0.500  0.250
Te  0.000  0.000  0.000

=====

A plane-wave DFT calculation with PBE was carried out for crystalline SiOsW2 at its relaxed geometry.

Summary:
**Spin magnetization**: 0.00 μB/f.u.
**Calculated total energy**: -10.50 eV/atom
**Raw formation energy**: 0.143 eV per atom

Cell: 8.950 8.950 8.950 Å, 18.04 18.04 18.04°
Positions (direct):
Si  0.750  0.750  0.750
Os  0.250  0.250  0.250
W  0.001  0.001  0.001
W  0.499  0.499  0.499

=====

A plane-wave DFT calculation with PBE was carried out for crystalline Tl2HgPb at its relaxed geometry.

Summary:
**Energy relative to the elements**: 0.01 eV/f.u.
**Spin magnetization**: 0.00 μB/f.u.
**Calculated total energy**: -2.18 eV/atom

Cell: 3.399 3.399 11.327 Å, 90.00 90.00 112.08°
Positions (direct):
Pb  0.500  0.500  0.750
Tl  0.000  0.000  0.494
Tl  0.000  0.000  0.006
Hg  0.500  0.500  0.250

=====

A plane-wave DFT calculation with PBE was carried out for crystalline NiIrPd at its relaxed geometry.

Summary:
**Energy relative to the elements**: 0.28 eV/f.u.
**Energy above the most stable polymorph in this dataset**: 0.080 eV/atom
**Spin magnetization**: 0.57 μB/f.u.
**Calculated total energy**: -6.52 eV/atom

Cell: 2.724 2.724 5.853 Å, 103.46 103.46 90.00°
Positions (direct):
Ni  0.328  0.328  0.656
Ir  0.677  0.677  0.354
Pd  0.995  0.995  0.990

=====

A plane-wave DFT calculation with PBE was carried out for crystalline ZrV2CrSb at its relaxed geometry.

Summary:
**Spin magnetization**: 0.00 μB/f.u.
**Calculated total energy**: -7.59 eV/atom
**Raw formation energy**: 0.516 eV per atom

Cell: 4.345 4.992 4.345 Å, 90.00 90.00 90.00°
Positions (direct):
V  0.000  0.000  0.500
V  0.500  0.000  0.000
Sb  0.500  0.500  0.500
Zr  0.000  0.500  0.000
Cr  0.000  0.000  0.000

=====

A plane-wave DFT calculation with PBE was carried out for crystalline BaLi2CuAu at its relaxed geometry.

Summary:
**Energy relative to the elements**: -0.72 eV/f.u.
**Energy above the most stable polymorph in this dataset**: 0.002 eV/atom
**Spin magnetization**: 0.00 μB/f.u.
**Calculated total energy**: -2.77 eV/atom

Cell: 4.861 4.861 5.167 Å, 90.00 90.00 90.00°
Positions (direct):
Ba  0.500  0.500  0.500
Cu  0.000  0.000  0.000
Li  0.000  0.500  0.000
Li  0.500  0.000  0.000
Au  0.000  0.000  0.500